w | Density functional theory data (meta-GGA SCAN) for Ta2TlMo at its PBEsol-relaxed geometry.

a b c (Å): 4.193 4.193 8.067
angles (deg): 90.00 90.00 90.00
Positions (direct):
Ta (0.000, 0.500, 0.250)
Ta (0.000, 0.500, 0.750)
Ta (0.500, 0.000, 0.250)
Ta (0.500, 0.000, 0.750)
Tl (0.000, 0.000, 0.000)
Tl (0.500, 0.500, 0.500)
Mo (0.000, 0.000, 0.500)
Mo (0.500, 0.500, 0.000)

x | Density functional theory data (meta-GGA SCAN) for Ta2TlMo at its PBEsol-relaxed geometry.

a b c (Å): 3.361 3.361 6.339
angles (deg): 90.00 90.00 90.00
Positions (direct):
Ta (0.000, 0.000, 0.223)
Ta (0.000, 0.000, 0.777)
Tl (0.500, 0.500, 0.500)
Mo (0.500, 0.500, 0.000)

Stability check: which of them is least stable? w.

w | Density functional theory data (meta-GGA SCAN) for TaMo2W at its PBEsol-relaxed geometry.

a b c (Å): 4.478 4.478 3.162
angles (deg): 90.00 90.00 90.00
Positions (direct):
Ta (0.000, 0.000, 0.000)
Mo (0.000, 0.500, 0.500)
Mo (0.500, 0.000, 0.500)
W (0.500, 0.500, 0.000)

x | Density functional theory data (meta-GGA SCAN) for TaMo2W at its PBEsol-relaxed geometry.

a b c (Å): 3.163 3.163 6.347
angles (deg): 90.00 90.00 90.00
Positions (direct):
Ta (0.000, 0.000, 0.000)
Mo (0.000, 0.000, 0.502)
Mo (0.500, 0.500, 0.746)
W (0.500, 0.500, 0.257)

Stability check: which of them is least stable? x.

w | Density functional theory data (meta-GGA SCAN) for YTa2Mo at its PBEsol-relaxed geometry.

a b c (Å): 3.247 4.930 9.607
angles (deg): 90.00 90.00 90.00
Positions (direct):
Y (0.000, 0.000, 0.000)
Y (0.500, 0.500, 0.500)
Ta (0.000, 0.500, 0.223)
Ta (0.000, 0.500, 0.777)
Ta (0.500, 0.000, 0.277)
Ta (0.500, 0.000, 0.723)
Mo (0.000, 0.000, 0.500)
Mo (0.500, 0.500, 0.000)

x | Density functional theory data (meta-GGA SCAN) for YTa2Mo at its PBEsol-relaxed geometry.

a b c (Å): 2.769 4.753 5.804
angles (deg): 90.00 90.00 90.00
Positions (direct):
Y (0.000, 0.000, 0.000)
Ta (0.000, 0.000, 0.493)
Ta (0.500, 0.500, 0.721)
Mo (0.500, 0.500, 0.268)

Stability check: which of them is least stable? x.

w | Density functional theory data (meta-GGA SCAN) for ZrTaMo at its PBEsol-relaxed geometry.

a b c (Å): 3.133 3.133 6.514
angles (deg): 90.00 90.00 120.00
Positions (direct):
Zr (0.000, 0.000, 0.000)
Ta (0.667, 0.333, 0.374)
Mo (0.333, 0.667, 0.667)

x | Density functional theory data (meta-GGA SCAN) for ZrTaMo at its PBEsol-relaxed geometry.

a b c (Å): 3.266 3.266 10.161
angles (deg): 90.00 90.00 90.00
Positions (direct):
Zr (0.000, 0.000, 0.000)
Zr (0.500, 0.500, 0.500)
Ta (0.000, 0.000, 0.309)
Ta (0.500, 0.500, 0.809)
Mo (0.000, 0.000, 0.671)
Mo (0.500, 0.500, 0.171)

Stability check: which of them is least stable? w.

w | Density functional theory data (meta-GGA SCAN) for Tc3Mo at its PBEsol-relaxed geometry.

a b c (Å): 2.740 8.862 4.723
angles (deg): 90.00 90.00 90.00
Positions (direct):
Tc (0.000, 0.000, 0.000)
Tc (0.000, 0.261, 0.668)
Tc (0.000, 0.739, 0.668)
Tc (0.500, 0.239, 0.168)
Tc (0.500, 0.500, 0.500)
Tc (0.500, 0.761, 0.168)
Mo (0.000, 0.500, 0.007)
Mo (0.500, 0.000, 0.507)

x | Density functional theory data (meta-GGA SCAN) for Tc3Mo at its PBEsol-relaxed geometry.

a b c (Å): 4.765 8.816 5.456
angles (deg): 90.00 90.00 90.00
Positions (direct):
Tc (0.083, 0.250, 0.123)
Tc (0.240, 0.509, 0.876)
Tc (0.240, 0.991, 0.876)
Tc (0.260, 0.009, 0.376)
Tc (0.260, 0.491, 0.376)
Tc (0.417, 0.750, 0.623)
Tc (0.583, 0.250, 0.377)
Tc (0.740, 0.509, 0.624)
Tc (0.740, 0.991, 0.624)
Tc (0.760, 0.009, 0.124)
Tc (0.760, 0.491, 0.124)
Tc (0.917, 0.750, 0.877)
Mo (0.078, 0.250, 0.624)
Mo (0.422, 0.750, 0.124)
Mo (0.578, 0.250, 0.876)
Mo (0.922, 0.750, 0.376)

Stability check: which of them is least stable? w.

w | Density functional theory data (meta-GGA SCAN) for Tc3Mo at its PBEsol-relaxed geometry.

a b c (Å): 8.652 8.652 2.663
angles (deg): 90.00 90.00 120.00
Positions (direct):
Tc (0.000, 0.500, 0.000)
Tc (0.167, 0.333, 0.333)
Tc (0.167, 0.833, 0.333)
Tc (0.333, 0.167, 0.667)
Tc (0.500, 0.000, 0.000)
Tc (0.500, 0.500, 0.000)
Tc (0.667, 0.833, 0.333)
Tc (0.833, 0.167, 0.667)
Tc (0.833, 0.667, 0.667)
Mo (0.000, 0.000, 0.000)
Mo (0.333, 0.667, 0.667)
Mo (0.667, 0.333, 0.333)

x | Density functional theory data (meta-GGA SCAN) for Tc3Mo at its PBEsol-relaxed geometry.

a b c (Å): 2.723 2.723 26.828
angles (deg): 90.00 90.00 120.00
Positions (direct):
Tc (0.000, 0.000, 0.000)
Tc (0.000, 0.000, 0.252)
Tc (0.000, 0.000, 0.748)
Tc (0.333, 0.667, 0.415)
Tc (0.333, 0.667, 0.667)
Tc (0.333, 0.667, 0.919)
Tc (0.667, 0.333, 0.081)
Tc (0.667, 0.333, 0.333)
Tc (0.667, 0.333, 0.585)
Mo (0.000, 0.000, 0.500)
Mo (0.333, 0.667, 0.167)
Mo (0.667, 0.333, 0.833)

Stability check: which of them is least stable? x.

w | Density functional theory data (meta-GGA SCAN) for TcMo2 at its PBEsol-relaxed geometry.

a b c (Å): 3.100 13.131 4.390
angles (deg): 90.00 90.00 90.00
Positions (direct):
Tc (0.000, 0.081, 0.250)
Tc (0.000, 0.919, 0.750)
Tc (0.500, 0.419, 0.750)
Tc (0.500, 0.581, 0.250)
Mo (0.000, 0.248, 0.750)
Mo (0.000, 0.416, 0.250)
Mo (0.000, 0.584, 0.750)
Mo (0.000, 0.752, 0.250)
Mo (0.500, 0.084, 0.750)
Mo (0.500, 0.252, 0.250)
Mo (0.500, 0.748, 0.750)
Mo (0.500, 0.916, 0.250)

x | Density functional theory data (meta-GGA SCAN) for TcMo2 at its PBEsol-relaxed geometry.

a b c (Å): 4.136 4.136 3.040
angles (deg): 90.00 90.00 90.00
Positions (direct):
Tc (0.000, 0.000, 0.000)
Mo (0.000, 0.500, 0.500)
Mo (0.500, 0.000, 0.500)

y | Density functional theory data (meta-GGA SCAN) for TcMo2 at its PBEsol-relaxed geometry.

a b c (Å): 4.363 4.363 2.709
angles (deg): 90.00 90.00 120.00
Positions (direct):
Tc (0.000, 0.000, 0.000)
Mo (0.333, 0.667, 0.339)
Mo (0.667, 0.333, 0.661)

Stability check: which of them is least stable? x.

w | Density functional theory data (meta-GGA SCAN) for TcTe2Mo at its PBEsol-relaxed geometry.

a b c (Å): 3.217 3.217 24.415
angles (deg): 90.00 90.00 120.00
Positions (direct):
Tc (0.000, 0.000, 0.000)
Tc (0.333, 0.667, 0.667)
Tc (0.667, 0.333, 0.333)
Te (0.000, 0.000, 0.251)
Te (0.000, 0.000, 0.749)
Te (0.333, 0.667, 0.416)
Te (0.333, 0.667, 0.917)
Te (0.667, 0.333, 0.083)
Te (0.667, 0.333, 0.584)
Mo (0.000, 0.000, 0.500)
Mo (0.333, 0.667, 0.167)
Mo (0.667, 0.333, 0.833)

x | Density functional theory data (meta-GGA SCAN) for TcTe2Mo at its PBEsol-relaxed geometry.

a b c (Å): 3.274 3.274 6.540
angles (deg): 90.00 90.00 90.00
Positions (direct):
Tc (0.000, 0.000, 0.000)
Te (0.500, 0.500, 0.251)
Te (0.500, 0.500, 0.749)
Mo (0.000, 0.000, 0.500)

Stability check: which of them is least stable? w.